Record 1
LiBeNi2 | SCAN | PBEsol geometry

- Magnetization: 0.00 Bohr magnetons per cell
- ΔE_f: -206 meV per atom

a b c (Å): 2.483 2.483 6.472
angles (deg): 90.00 90.00 90.00
Space group P4/mmm (No. 123)
Inequivalent atoms, fractional coordinates:
Li (0.000, 0.000, 0.000) x1
Be (0.000, 0.000, 0.500) x1
Ni (0.500, 0.500, 0.290) x2

---

Record 2
MnTcMo2Se | SCAN | PBEsol geometry

- E_form (uncorrected): 1314 meV/atom
- Magnetization: 1.52 Bohr magnetons per cell

a b c (Å): 4.654 4.654 4.674
angles (deg): 90.00 90.00 90.00
Space group P4/mmm (No. 123)
Inequivalent atoms, fractional coordinates:
Mn (0.000, 0.000, 0.000) x1
Tc (0.500, 0.500, 0.500) x1
Mo (0.000, 0.500, 0.500) x2
Se (0.500, 0.500, 0.000) x1

---

Record 3
CaZn2H10O8 | SCAN | PBEsol geometry

- Magnetization: 0.00 Bohr magnetons per cell
- Raw total energy: -7.12 eV/atom

a b c (Å): 6.154 10.014 6.576
angles (deg): 90.00 114.00 90.00
Space group P2_1/c (No. 14)
Inequivalent atoms, fractional coordinates:
Ca (0.000, 0.000, 0.000) x2
Zn (0.414, 0.212, 0.794) x4
H (0.107, 0.231, 0.400) x4
H (0.179, 0.718, 0.382) x4
H (0.189, 0.637, 0.169) x4
H (0.355, 0.612, 0.925) x4
H (0.499, 0.523, 0.213) x4
O (0.091, 0.643, 0.270) x4
O (0.236, 0.202, 0.990) x4
O (0.325, 0.665, 0.046) x4
O (0.402, 0.559, 0.731) x4

---

Record 4
ScP2S2 | SCAN | PBEsol geometry

- E_form (uncorrected): 617 meV/atom
- Magnetization: 0.49 Bohr magnetons per cell

a b c (Å): 4.954 4.954 4.591
angles (deg): 90.00 90.00 90.00
Space group P4/mmm (No. 123)
Inequivalent atoms, fractional coordinates:
Sc (0.000, 0.000, 0.000) x1
P (0.000, 0.500, 0.000) x2
S (0.000, 0.000, 0.500) x1
S (0.500, 0.500, 0.500) x1

---

Record 5
InOs2Pb | SCAN | PBEsol geometry

- Magnetization: 0.00 Bohr magnetons per cell
- ΔE_f: 1092 meV per atom
- ΔE to the lowest computed polymorph: 365 meV/atom

a b c (Å): 3.121 4.454 5.161
angles (deg): 90.00 90.00 90.00
Space group Pmmm (No. 47)
Inequivalent atoms, fractional coordinates:
In (0.000, 0.000, 0.000) x1
Os (0.000, 0.500, 0.500) x1
Os (0.500, 0.500, 0.000) x1
Pb (0.500, 0.000, 0.500) x1

---

Record 6
YNb3P | SCAN | PBEsol geometry

- Magnetization: 0.00 Bohr magnetons per cell
- ΔE_f: 2287 meV per atom

a b c (Å): 4.832 4.832 4.832
angles (deg): 90.00 90.00 90.00
Space group Pm-3m (No. 221)
Inequivalent atoms, fractional coordinates:
Y (0.000, 0.000, 0.000) x1
Nb (0.000, 0.000, 0.500) x3
P (0.500, 0.500, 0.500) x1

---

Record 7
CaCdSe2 | SCAN | PBEsol geometry

- E_form (uncorrected): -1321 meV/atom
- Magnetization: 0.00 Bohr magnetons per cell

a b c (Å): 6.424 6.424 12.056
angles (deg): 90.00 90.00 90.00
Space group I-42d (No. 122)
Inequivalent atoms, fractional coordinates:
Ca (0.000, 0.000, 0.000) x4
Cd (0.000, 0.000, 0.500) x4
Se (0.227, 0.250, 0.625) x8

---

Record 8
LiPtCO2 | SCAN | PBEsol geometry

- E_form (uncorrected): 1145 meV/atom
- Magnetization: 2.79 Bohr magnetons per cell

a b c (Å): 3.104 3.104 5.962
angles (deg): 90.00 90.00 90.00
Space group P4/mmm (No. 123)
Inequivalent atoms, fractional coordinates:
Li (0.000, 0.000, 0.000) x1
Pt (0.000, 0.000, 0.500) x1
C (0.500, 0.500, 0.500) x1
O (0.000, 0.500, 0.000) x2